(1)
First-principles (GGA-PBE) data for a geometry-optimized NaTlIn2I6 structure, as listed in the Alexandria database.

a b c (Å): 8.382 8.376 8.661
angles (deg): 89.97 118.98 120.01
Fractional positions:
Na 0.006 0.002 0.994
Tl 0.995 0.497 0.477
In 0.614 0.806 0.406
In 0.606 0.303 0.895
I 0.523 0.923 0.667
I 0.479 0.033 0.176
I 0.745 0.711 0.176
I 0.157 0.445 0.176
I 0.759 0.599 0.667
I 0.082 0.159 0.667

uncorrected formation energy: -0.639 eV/atom
total magnetization: 0.00 μB per cell
SG: P1 (1)

(2)
First-principles (GGA-PBE) data for a geometry-optimized Hf2ScTaO structure, as listed in the Alexandria database.

a b c (Å): 4.473 4.473 4.356
angles (deg): 90.00 90.00 90.00
Fractional positions:
Sc 0.000 0.000 0.500
Hf 0.000 0.500 0.000
Hf 0.500 0.000 0.000
O 0.000 0.000 0.000
Ta 0.500 0.500 0.500

uncorrected formation energy: -1.053 eV/atom
total magnetization: 0.00 μB per cell
SG: P4/mmm (123)